# AlHg2P | Alexandria via LeMat-Bulk | PBE | relaxed
data_AlHg2P
_space_group_name_H-M_alt 'F m -3 m'
_space_group_IT_number 225
_space_group_name_Hall '-F 4 2 3'
_cell_length_a 6.968
_cell_length_b 6.968
_cell_length_c 6.968
_cell_angle_alpha 90.00
_cell_angle_beta 90.00
_cell_angle_gamma 90.00
loop_
_atom_site_label
_atom_site_type_symbol
_atom_site_fract_x
_atom_site_fract_y
_atom_site_fract_z
Al1 Al 0.000 0.000 0.000
Hg1 Hg 0.250 0.250 0.250
P1 P 0.000 0.000 0.500
# - total magnetic moment (μB per cell) = 0.000
# - ΔE_f (eV per atom) = 0.443
# - E (eV/atom) = -1.996
# - excess energy over the best structure of this formula in the dataset (meV per atom) = 490.2